VASP calculation (PBE with a Hubbard U) on an optimized crystal structure of NiI2F.

Summary:
Final energy in eV per formula unit: -6.751
Space group: No. 225

Geometry as CIF:
```
data_NiI2F
_symmetry_space_group_name_H-M 'P 1'
_symmetry_Int_Tables_number 1
_cell_length_a 4.839
_cell_length_b 4.839
_cell_length_c 4.839
_cell_angle_alpha 60.00
_cell_angle_beta 60.00
_cell_angle_gamma 60.00
loop_
_symmetry_equiv_pos_as_xyz
'x,y,z'
loop_
_atom_site_label
_atom_site_type_symbol
_atom_site_fract_x
_atom_site_fract_y
_atom_site_fract_z
Ni1 Ni 0.500 0.500 0.500
F1 F 0.000 0.000 0.000
I1 I 0.750 0.750 0.750
I2 I 0.250 0.250 0.250
```